Entry 1:
An optimized crystal structure of BaHgW2. Source: the Alexandria database, functional PBE.

Volume (A^3/atom): 25.55
Formation energy (kJ per mole of atoms): 82

CIF file:
```
data_BaHgW2
_cell_length_a 8.542
_cell_length_b 3.183
_cell_length_c 7.597
_cell_angle_alpha 90.00
_cell_angle_beta 98.29
_cell_angle_gamma 90.00
_symmetry_space_group_name_H-M 'C 1 m 1'
_symmetry_Int_Tables_number 8
_symmetry_space_group_name_Hall 'C -2y'
loop_
_atom_site_label
_atom_site_fract_x
_atom_site_fract_y
_atom_site_fract_z
Ba1 0.000 0.000 0.000
Hg1 0.241 0.000 0.666
W1 0.274 0.500 0.319
W2 0.496 0.000 0.446
```

=====

Entry 2:
An optimized crystal structure of BaHg2W. Source: the Alexandria database, functional PBE.

Volume (A^3/atom): 23.63
Formation energy (kJ per mole of atoms): 62

CIF file:
```
data_BaHg2W
_cell_length_a 3.193
_cell_length_b 3.193
_cell_length_c 9.269
_cell_angle_alpha 90.00
_cell_angle_beta 90.00
_cell_angle_gamma 90.00
_symmetry_space_group_name_H-M 'P 4/m m m'
_symmetry_Int_Tables_number 123
_symmetry_space_group_name_Hall '-P 4 2'
loop_
_atom_site_label
_atom_site_fract_x
_atom_site_fract_y
_atom_site_fract_z
Ba1 0.000 0.000 0.000
Hg1 0.500 0.500 0.292
W1 0.000 0.000 0.500
```

=====

Entry 3:
An optimized crystal structure of BaHg2W. Source: the Alexandria database, functional PBE.

Volume (A^3/atom): 23.67
Formation energy (kJ per mole of atoms): 77

CIF file:
```
data_BaHg2W
_cell_length_a 3.2043
_cell_length_b 3.2043
_cell_length_c 31.9493
_cell_angle_alpha 90.00
_cell_angle_beta 90.00
_cell_angle_gamma 120.00
_symmetry_space_group_name_H-M 'R -3 m'
_symmetry_Int_Tables_number 166
_symmetry_space_group_name_Hall '-R 3 2"'
loop_
_atom_site_label
_atom_site_fract_x
_atom_site_fract_y
_atom_site_fract_z
Ba1 0.0000 0.0000 0.0000
Hg1 0.0000 0.0000 0.2388
W1 0.0000 0.0000 0.5000
```

=====

Entry 4:
An optimized crystal structure of BaHgW2. Source: the Alexandria database, functional PBE.

Volume (A^3/atom): 25.44
Formation energy (kJ per mole of atoms): 114

CIF file:
```
data_BaHgW2
_cell_length_a 3.714
_cell_length_b 3.714
_cell_length_c 7.380
_cell_angle_alpha 90.00
_cell_angle_beta 90.00
_cell_angle_gamma 90.00
_symmetry_space_group_name_H-M 'P 4/m m m'
_symmetry_Int_Tables_number 123
_symmetry_space_group_name_Hall '-P 4 2'
loop_
_atom_site_label
_atom_site_fract_x
_atom_site_fract_y
_atom_site_fract_z
Ba1 0.000 0.000 0.000
Hg1 0.000 0.000 0.500
W1 0.500 0.500 0.344
```

=====

Entry 5:
An optimized crystal structure of BaHgW2. Source: the Alexandria database, functional PBE.

Volume (A^3/atom): 23.25
Formation energy (kJ per mole of atoms): 154

CIF file:
```
data_BaHgW2
_cell_length_a 4.235
_cell_length_b 4.235
_cell_length_c 10.373
_cell_angle_alpha 90.00
_cell_angle_beta 90.00
_cell_angle_gamma 90.00
_symmetry_space_group_name_H-M 'I 4/m m m'
_symmetry_Int_Tables_number 139
_symmetry_space_group_name_Hall '-I 4 2'
loop_
_atom_site_label
_atom_site_fract_x
_atom_site_fract_y
_atom_site_fract_z
Ba1 0.000 0.000 0.000
Hg1 0.000 0.000 0.500
W1 0.000 0.500 0.250
```

=====

Entry 6:
An optimized crystal structure of BaHg2W. Source: the Alexandria database, functional PBE.

Volume (A^3/atom): 26.90
Formation energy (kJ per mole of atoms): 66

CIF file:
```
data_BaHg2W
_cell_length_a 3.180
_cell_length_b 4.726
_cell_length_c 7.161
_cell_angle_alpha 90.00
_cell_angle_beta 90.11
_cell_angle_gamma 90.00
_symmetry_space_group_name_H-M 'P 1 m 1'
_symmetry_Int_Tables_number 6
_symmetry_space_group_name_Hall 'P -2y'
loop_
_atom_site_label
_atom_site_fract_x
_atom_site_fract_y
_atom_site_fract_z
Ba1 0.000 0.000 0.000
Hg1 0.499 0.000 0.426
Hg2 0.499 0.500 0.716
W1 0.998 0.500 0.376
```

=====

Entry 7:
An optimized crystal structure of Ba2HgW. Source: the Alexandria database, functional PBE.

Volume (A^3/atom): 33.63
Formation energy (kJ per mole of atoms): 76

CIF file:
```
data_Ba2HgW
_cell_length_a 3.928
_cell_length_b 3.938
_cell_length_c 8.698
_cell_angle_alpha 90.00
_cell_angle_beta 90.00
_cell_angle_gamma 90.00
_symmetry_space_group_name_H-M 'P m m m'
_symmetry_Int_Tables_number 47
_symmetry_space_group_name_Hall '-P 2 2'
loop_
_atom_site_label
_atom_site_fract_x
_atom_site_fract_y
_atom_site_fract_z
Ba1 0.000 0.000 0.233
Hg1 0.500 0.500 0.500
W1 0.500 0.500 0.000
```

=====

Entry 8:
An optimized crystal structure of BaHg2W. Source: the Alexandria database, functional PBE.

Volume (A^3/atom): 24.81
Formation energy (kJ per mole of atoms): 59

CIF file:
```
data_BaHg2W
_cell_length_a 3.139
_cell_length_b 4.167
_cell_length_c 7.587
_cell_angle_alpha 90.00
_cell_angle_beta 90.00
_cell_angle_gamma 90.00
_symmetry_space_group_name_H-M 'P m m m'
_symmetry_Int_Tables_number 47
_symmetry_space_group_name_Hall '-P 2 2'
loop_
_atom_site_label
_atom_site_fract_x
_atom_site_fract_y
_atom_site_fract_z
Ba1 0.000 0.000 0.000
Hg1 0.500 0.500 0.308
W1 0.000 0.000 0.500
```

=====

Entry 9:
An optimized crystal structure of BaHg2W. Source: the Alexandria database, functional PBE.

Volume (A^3/atom): 27.39
Formation energy (kJ per mole of atoms): 80

CIF file:
```
data_BaHg2W
_cell_length_a 7.596
_cell_length_b 7.596
_cell_length_c 7.596
_cell_angle_alpha 90.00
_cell_angle_beta 90.00
_cell_angle_gamma 90.00
_symmetry_space_group_name_H-M 'F m -3 m'
_symmetry_Int_Tables_number 225
_symmetry_space_group_name_Hall '-F 4 2 3'
loop_
_atom_site_label
_atom_site_fract_x
_atom_site_fract_y
_atom_site_fract_z
Ba1 0.000 0.000 0.000
Hg1 0.250 0.250 0.250
W1 0.000 0.000 0.500
```

=====

Entry 10:
An optimized crystal structure of Ba2HgW. Source: the Alexandria database, functional PBE.

Volume (A^3/atom): 31.30
Formation energy (kJ per mole of atoms): 91

CIF file:
```
data_Ba2HgW
_cell_length_a 6.986
_cell_length_b 3.299
_cell_length_c 10.908
_cell_angle_alpha 90.00
_cell_angle_beta 95.05
_cell_angle_gamma 90.00
_symmetry_space_group_name_H-M 'C 1 2/m 1'
_symmetry_Int_Tables_number 12
_symmetry_space_group_name_Hall '-C 2y'
loop_
_atom_site_label
_atom_site_fract_x
_atom_site_fract_y
_atom_site_fract_z
Ba1 0.246 0.000 0.270
Hg1 0.000 0.500 0.000
W1 0.000 0.000 0.500
```

=====

Entry 11:
An optimized crystal structure of BaHgW2. Source: the Alexandria database, functional PBE.

Volume (A^3/atom): 25.41
Formation energy (kJ per mole of atoms): 101

CIF file:
```
data_BaHgW2
_cell_length_a 3.326
_cell_length_b 5.677
_cell_length_c 10.766
_cell_angle_alpha 90.00
_cell_angle_beta 90.00
_cell_angle_gamma 90.00
_symmetry_space_group_name_H-M 'I m m 2'
_symmetry_Int_Tables_number 44
_symmetry_space_group_name_Hall 'I 2 -2'
loop_
_atom_site_label
_atom_site_fract_x
_atom_site_fract_y
_atom_site_fract_z
Ba1 0.000 0.000 0.000
Hg1 0.000 0.500 0.797
W1 0.000 0.000 0.542
W2 0.000 0.500 0.206
```

=====

Entry 12:
An optimized crystal structure of Ba3HgW. Source: the Alexandria database, functional PBE.

Volume (A^3/atom): 44.03
Formation energy (kJ per mole of atoms): 72

CIF file:
```
data_Ba3HgW
_cell_length_a 6.038
_cell_length_b 6.038
_cell_length_c 6.038
_cell_angle_alpha 90.00
_cell_angle_beta 90.00
_cell_angle_gamma 90.00
_symmetry_space_group_name_H-M 'P m -3 m'
_symmetry_Int_Tables_number 221
_symmetry_space_group_name_Hall '-P 4 2 3'
loop_
_atom_site_label
_atom_site_fract_x
_atom_site_fract_y
_atom_site_fract_z
Ba1 0.000 0.000 0.500
Hg1 0.500 0.500 0.500
W1 0.000 0.000 0.000
```

=====

Look up the volume of the twelfth one.
44.03 A^3/atom

=====

Copy entry 4 word for word.
An optimized crystal structure of BaHgW2. Source: the Alexandria database, functional PBE.

Volume (A^3/atom): 25.44
Formation energy (kJ per mole of atoms): 114

CIF file:
```
data_BaHgW2
_cell_length_a 3.714
_cell_length_b 3.714
_cell_length_c 7.380
_cell_angle_alpha 90.00
_cell_angle_beta 90.00
_cell_angle_gamma 90.00
_symmetry_space_group_name_H-M 'P 4/m m m'
_symmetry_Int_Tables_number 123
_symmetry_space_group_name_Hall '-P 4 2'
loop_
_atom_site_label
_atom_site_fract_x
_atom_site_fract_y
_atom_site_fract_z
Ba1 0.000 0.000 0.000
Hg1 0.000 0.000 0.500
W1 0.500 0.500 0.344
```